(1)
Compound: LiAcNi
Source: OQMD
Functional: GGA-PBE
Structure: relaxed

The theoretical density is 6.39 g/cm³. The energy above the lowest structure with this stoichiometry is 0 meV per atom. As for the crystal system: cubic. The value obtained for the electronic total energy is -46.02 eV/cell.

The structure belongs to space group F-43m (No. 216); the cell edges are 6.725, 6.725 and 6.725 Å and the angles 90.00°, 90.00° and 90.00°. The asymmetric unit holds Li at (0.000, 0.000, 0.000), Ac at (0.000, 0.000, 0.500) and Ni at (0.250, 0.250, 0.750).

(2)
Compound: DyUIr
Source: OQMD
Functional: GGA-PBE
Structure: relaxed

The theoretical density is 13.02 g/cm³. The energy above the lowest structure with this stoichiometry is 0 meV per atom. As for the crystal system: cubic. The value obtained for the electronic total energy is -100.80 eV/cell.

The structure belongs to space group F-43m (No. 216); the cell edges are 6.711, 6.711 and 6.711 Å and the angles 90.00°, 90.00° and 90.00°. The asymmetric unit holds Dy at (0.000, 0.000, 0.000), U at (0.000, 0.000, 0.500) and Ir at (0.250, 0.250, 0.250).

(3)
Compound: LaSmGa
Source: OQMD
Functional: GGA-PBE
Structure: relaxed

The theoretical density is 6.29 g/cm³. The energy above the lowest structure with this stoichiometry is 0 meV per atom. As for the crystal system: cubic. The value obtained for the electronic total energy is -53.74 eV/cell.

The structure belongs to space group F-43m (No. 216); the cell edges are 7.238, 7.238 and 7.238 Å and the angles 90.00°, 90.00° and 90.00°. The asymmetric unit holds La at (0.000, 0.000, 0.000), Sm at (0.000, 0.000, 0.500) and Ga at (0.250, 0.250, 0.250).

(4)
Compound: KB4Pd
Source: OQMD
Functional: GGA-PBE
Structure: relaxed

The theoretical density is 4.64 g/cm³. The energy above the lowest structure with this stoichiometry is 138 meV per atom. As for the crystal system: orthorhombic. The value obtained for the electronic total energy is -60.97 eV/cell.

The structure belongs to space group Immm (No. 71); the cell edges are 2.632, 5.756 and 8.912 Å and the angles 90.00°, 90.00° and 90.00°. The asymmetric unit holds K at (0.000, 0.000, 0.000), B at (0.000, 0.355, 0.229) and Pd at (0.000, 0.000, 0.500).